[1]
BeTcAs2, optimized geometry, DFT PBE; energy of formation = 0.13 eV per atom
1.0
3.1807 0.0000 0.0000
0.0000 3.1586 0.0000
-1.0933 0.0000 5.7717
Be Tc As
1 1 2
Cartesian
0.0000 0.0000 0.0000
-0.5466 0.0000 2.8858
1.0582 1.5793 1.4304
1.0292 1.5793 4.3413



[2]
BeTc4As, optimized geometry, DFT PBE; energy of formation = 0.65 eV per atom
1.0
0.0000 3.6174 3.6174
3.6174 0.0000 3.6174
3.6174 3.6174 0.0000
Be Tc As
1 4 1
Cartesian
0.0000 0.0000 0.0000
4.5202 2.7147 2.7147
2.7147 4.5202 2.7147
2.7147 2.7147 4.5202
4.5202 4.5202 4.5202
1.8087 1.8087 1.8087



[3]
BeTcAs2, optimized geometry, DFT PBE; energy of formation = 0.41 eV per atom
1.0
3.3098 0.0000 0.0000
0.0000 3.8418 0.0000
0.0000 0.0000 4.6511
Be Tc As
1 1 2
Cartesian
0.0000 0.0000 0.0000
1.6549 0.0000 2.3255
0.0000 1.9209 2.3255
1.6549 1.9209 0.0000



[4]
BeTcAs2, optimized geometry, DFT PBE; energy of formation = 0.03 eV per atom
1.0
4.0176 -1.5719 0.0000
4.0176 1.5719 0.0000
-1.6955 0.0000 5.5684
Be Tc As
1 1 2
Cartesian
0.0000 0.0000 0.0000
5.7655 0.0000 0.8230
0.3614 0.0000 4.4609
3.4527 0.0000 1.8031



[5]
BeTcAs2, optimized geometry, DFT PBE; energy of formation = 0.14 eV per atom
1.0
4.0712 -1.5631 0.0000
4.0712 1.5631 0.0000
-0.3258 0.0000 4.6062
Be Tc As
1 1 2
Cartesian
0.0000 0.0000 0.0000
3.9083 0.0000 2.3031
1.5828 0.0000 3.4246
6.2338 0.0000 1.1816



[6]
BeTcAs2, optimized geometry, DFT PBE; energy of formation = 0.11 eV per atom
1.0
1.5896 0.9178 6.8022
-1.5896 0.9178 6.8022
0.0000 -1.8355 6.8022
Be Tc As
1 1 2
Cartesian
0.0000 0.0000 0.0000
0.0000 0.0000 10.2033
0.0000 0.0000 5.1967
0.0000 0.0000 15.2100



[7]
BeTcAs2, optimized geometry, DFT PBE; energy of formation = 0.41 eV per atom
1.0
1.5907 -2.5042 0.0000
1.5907 2.5042 0.0000
0.0000 0.0000 7.5348
Be Tc As
1 1 2
Cartesian
0.0000 0.0000 0.0000
0.0000 0.0000 3.7674
1.5907 0.0000 1.7752
1.5907 0.0000 5.7596



[8]
BeTcAs2, optimized geometry, DFT PBE; energy of formation = 0.17 eV per atom
1.0
-1.6588 2.2865 3.7368
1.6588 -2.2865 3.7368
1.6588 2.2865 -3.7368
Be Tc As
1 1 2
Cartesian
0.0000 0.0000 0.0000
0.0000 0.0000 3.7368
1.6588 0.0000 1.6052
0.0000 2.2865 2.1316



[9]
BeTcAs2, optimized geometry, DFT PBE; energy of formation = 0.34 eV per atom
1.0
4.2490 0.0000 0.0000
0.0000 4.2490 0.0000
0.0000 0.0000 3.2000
Be Tc As
1 1 2
Cartesian
0.0000 0.0000 0.0000
2.1245 2.1245 0.0000
0.0000 2.1245 1.6000
2.1245 0.0000 1.6000



[10]
BeTcAs2, optimized geometry, DFT PBE; energy of formation = 0.21 eV per atom
1.0
1.4953 0.8633 8.8636
-1.4953 0.8633 8.8636
0.0000 -1.7267 8.8636
Be Tc As
1 1 2
Cartesian
0.0000 0.0000 0.0000
0.0000 0.0000 7.0781
0.0000 0.0000 14.1409
0.0000 0.0000 19.3923



[11]
BeTcAs2, optimized geometry, DFT PBE; energy of formation = 0.27 eV per atom
1.0
-2.7551 2.7551 5.1961
2.7551 -2.7551 5.1961
2.7551 2.7551 -5.1961
Be Tc As
2 2 4
Cartesian
0.0000 0.0000 0.0000
0.0000 2.7551 2.5981
2.7551 0.0000 2.5981
0.0000 0.0000 5.1961
4.1327 1.2721 -1.2990
1.2721 1.3776 1.2990
-1.3776 1.4831 3.8971
1.4831 1.3776 6.4952



[12]
BeTcAs4, optimized geometry, DFT PBE; energy of formation = 1.00 eV per atom
1.0
0.0000 3.7861 3.7861
3.7861 0.0000 3.7861
3.7861 3.7861 0.0000
Be Tc As
1 1 4
Cartesian
0.0000 0.0000 0.0000
5.6792 5.6792 5.6792
2.8359 2.8359 2.8359
4.7363 4.7363 2.8359
4.7363 2.8359 4.7363
2.8359 4.7363 4.7363



[13]
BeTcAs2, optimized geometry, DFT PBE; energy of formation = 0.01 eV per atom
1.0
-1.6091 1.6372 6.1316
1.6091 -1.6372 6.1316
1.6091 1.6372 -6.1316
Be Tc As
1 1 2
Cartesian
0.0000 0.0000 0.0000
1.6091 0.0000 4.3811
0.0000 0.0000 6.4307
0.0000 1.6372 3.1583



[14]
BeTcAs2, optimized geometry, DFT PBE; energy of formation = 0.18 eV per atom
1.0
3.1750 0.0000 0.0000
0.0000 3.1750 0.0000
0.0000 0.0000 5.7485
Be Tc As
1 1 2
Cartesian
0.0000 0.0000 0.0000
0.0000 0.0000 2.8742
1.5875 1.5875 1.4364
1.5875 1.5875 4.3121



[15]
BeTc3As, optimized geometry, DFT PBE; ΔE to the lowest computed polymorph = 0.00 eV per formula unit; energy of formation = 0.72 eV per atom
1.0
4.1783 0.0000 0.0000
0.0000 4.1783 0.0000
0.0000 0.0000 4.1783
Be Tc As
1 3 1
Cartesian
0.0000 0.0000 0.0000
0.0000 0.0000 2.0892
0.0000 2.0892 0.0000
2.0892 0.0000 0.0000
2.0892 2.0892 2.0892



[16]
BeTcAs2, optimized geometry, DFT PBE; energy of formation = -0.03 eV per atom
1.0
3.2501 0.0000 0.0000
0.0000 4.0456 0.0000
-1.6238 0.0000 4.4614
Be Tc As
1 1 2
Cartesian
0.0000 0.0000 0.0000
0.0063 2.0228 1.3473
0.0079 2.0228 3.9181
1.6307 0.0000 2.1280



[17]
BeTc2TeAs, optimized geometry, DFT PBE; formation energy from raw total energies = 0.837 eV per atom
1.0
4.7356 0.0000 0.0000
0.0000 4.7356 0.0000
0.0000 0.0000 3.9989
Be Tc Te As
1 2 1 1
Cartesian
0.0000 0.0000 0.0000
0.0000 2.3678 1.9995
2.3678 0.0000 1.9995
2.3678 2.3678 0.0000
0.0000 0.0000 1.9995



[18]
Be2TeAs, optimized geometry, DFT PBE; formation energy from raw total energies = -0.093 eV per atom; ΔE to the lowest computed polymorph = 0.00 eV per formula unit
1.0
-2.7252 2.7252 5.3267
2.7252 -2.7252 5.3267
2.7252 2.7252 -5.3267
Be Te As
4 2 2
Cartesian
4.0878 1.1971 -1.3317
1.1971 1.3626 1.3317
-1.3626 1.5281 3.9950
1.5281 1.3626 6.6584
2.7252 0.0000 2.6634
0.0000 0.0000 5.3267
0.0000 0.0000 0.0000
0.0000 2.7252 2.6634



[19]
Be2TeAs, optimized geometry, DFT PBE; formation energy from raw total energies = 0.176 eV per atom; ΔE to the lowest computed polymorph = 1.08 eV per formula unit
1.0
3.1320 -1.8053 0.0000
3.1320 1.8053 0.0000
-2.1464 0.0000 5.8169
Be Te As
2 1 1
Cartesian
1.0376 0.0000 1.1743
3.0801 0.0000 4.6426
-1.0732 0.0000 2.9084
3.1320 0.0000 0.0000



[20]
Be2TeAs, optimized geometry, DFT PBE; formation energy from raw total energies = 0.713 eV per atom; ΔE to the lowest computed polymorph = 3.23 eV per formula unit
1.0
4.4286 0.0000 0.0000
0.0000 4.4286 0.0000
0.0000 0.0000 3.3604
Be Te As
2 1 1
Cartesian
0.0000 2.2143 0.0000
2.2143 0.0000 0.0000
0.0000 0.0000 1.6802
2.2143 2.2143 1.6802



no.,spin magnetization (μB/f.u.)
1,0.000
2,0.000
3,0.000
4,0.000
5,0.000
6,0.000
7,0.000
8,0.000
9,0.000
10,0.000
11,0.000
12,1.884
13,0.000
14,0.000
15,3.038
16,0.000
17,0.000
18,0.000
19,0.000
20,0.000